# AlRhI2

A relaxed structure of AlRhI2 (PBE, Alexandria via LeMat-Bulk).

* crystal system: cubic
* formation energy (no corrections): 562.8 meV per atom
* D(E_F): 1.054 states/eV/atom
* raw total energy: -11.94 eV/f.u.
* E above lowest polymorph: 0.769 eV/f.u.

Unit cell a=5.1316 b=5.1316 c=5.1316 alpha=60.00 beta=60.00 gamma=60.00
Last column: nearest neighbours and their distance in Å.
Positions (direct):
Al 0.0000 0.0000 0.0000  8 I 3.14
Rh 0.5000 0.5000 0.5000  8 I 3.14
I 0.7500 0.7500 0.7500  4 Rh 3.14, 4 Al 3.14
I 0.2500 0.2500 0.2500  4 Rh 3.14, 4 Al 3.14

---

# AlRhI2

A relaxed structure of AlRhI2 (PBE, Alexandria via LeMat-Bulk).

* crystal system: tetragonal
* formation energy (no corrections): 370.5 meV per atom
* D(E_F): 0.897 states/eV/atom
* raw total energy: -12.71 eV/f.u.
* E above lowest polymorph: 0.000 eV/f.u.

Unit cell a=6.4262 b=6.4262 c=7.7421 alpha=65.48 beta=65.48 gamma=90.00
Last column: nearest neighbours and their distance in Å.
Positions (direct):
I 0.3750 0.3375 0.7500  2 Rh 2.63, 2 Al 2.91
Al 0.2500 0.7500 0.5000  4 I 2.91
I 0.0875 0.6250 0.2500  2 Rh 2.63, 2 Al 2.91
I 0.6625 0.1250 0.2500  2 Rh 2.63, 2 Al 2.91
Rh 0.7500 0.2500 0.5000  4 I 2.63
I 0.8750 0.9125 0.7500  2 Rh 2.63, 2 Al 2.91
Al 0.5000 0.5000 0.0000  4 I 2.91
Rh 0.0000 0.0000 0.0000  4 I 2.63

---

# AlRu2RhI

A relaxed structure of AlRu2RhI (PBE, Alexandria via LeMat-Bulk).

* crystal system: tetragonal
* formation energy (no corrections): 1171.0 meV per atom
* D(E_F): 1.559 states/eV/atom
* raw total energy: -25.34 eV/f.u.

Unit cell a=4.8379 b=4.6269 c=4.8379 alpha=90.00 beta=90.00 gamma=90.00
Last column: nearest neighbours and their distance in Å.
Positions (direct):
Al 0.0000 0.5000 0.0000  2 Rh 2.31
I 0.5000 0.5000 0.5000  8 Ru 3.35, 4 Al 3.42
Rh 0.0000 0.0000 0.0000  2 Al 2.31, 4 Ru 2.42
Ru 0.5000 0.0000 0.0000  2 Rh 2.42
Ru 0.0000 0.0000 0.5000  2 Rh 2.42

---

# AlSbRhI2

A relaxed structure of AlSbRhI2 (PBE, Alexandria via LeMat-Bulk).

* crystal system: tetragonal
* formation energy (no corrections): 293.8 meV per atom
* D(E_F): 0.409 states/eV/atom
* raw total energy: -16.85 eV/f.u.
* E above lowest polymorph: 0.000 eV/f.u.

Unit cell a=5.6829 b=5.6829 c=4.9721 alpha=90.00 beta=90.00 gamma=90.00
Last column: nearest neighbours and their distance in Å.
Positions (direct):
Al 0.5000 0.5000 0.5000  8 I 3.78, 4 Sb 4.02
Sb 0.0000 0.0000 0.5000  2 Rh 2.49
Rh 0.0000 0.0000 0.0000  2 Sb 2.49
I 0.5000 0.0000 0.0000  2 Rh 2.84
I 0.0000 0.5000 0.0000  2 Rh 2.84

---

# AlSbRhI2

A relaxed structure of AlSbRhI2 (PBE, Alexandria via LeMat-Bulk).

* crystal system: tetragonal
* formation energy (no corrections): 859.6 meV per atom
* D(E_F): 1.791 states/eV/atom
* raw total energy: -14.02 eV/f.u.
* E above lowest polymorph: 2.829 eV/f.u.

Unit cell a=5.3935 b=5.3935 c=5.3569 alpha=90.00 beta=90.00 gamma=90.00
Last column: nearest neighbours and their distance in Å.
Positions (direct):
Rh 0.5000 0.5000 0.5000  8 I 3.80, 4 Sb 3.81
I 0.5000 0.0000 0.0000  2 Al 2.70
I 0.0000 0.5000 0.0000  2 Al 2.70
Al 0.0000 0.0000 0.0000  2 Sb 2.68, 4 I 2.70
Sb 0.0000 0.0000 0.5000  2 Al 2.68

---

# AlTe2RhI

A relaxed structure of AlTe2RhI (PBE, Alexandria via LeMat-Bulk).

* crystal system: tetragonal
* formation energy (no corrections): 776.5 meV per atom
* D(E_F): 1.390 states/eV/atom
* raw total energy: -15.04 eV/f.u.
* E above lowest polymorph: 2.240 eV/f.u.

Unit cell a=5.2929 b=5.2929 c=5.4219 alpha=90.00 beta=90.00 gamma=90.00
Last column: nearest neighbours and their distance in Å.
Positions (direct):
Te 0.5000 0.0000 0.0000  2 Al 2.65
Al 0.0000 0.0000 0.0000  4 Te 2.65, 2 I 2.71
I 0.0000 0.0000 0.5000  2 Al 2.71
Rh 0.5000 0.5000 0.5000  4 I 3.74, 8 Te 3.79
Te 0.0000 0.5000 0.0000  2 Al 2.65

---

# AlTe2RhI

A relaxed structure of AlTe2RhI (PBE, Alexandria via LeMat-Bulk).

* crystal system: tetragonal
* formation energy (no corrections): 328.6 meV per atom
* D(E_F): 1.480 states/eV/atom
* raw total energy: -17.28 eV/f.u.
* E above lowest polymorph: 0.000 eV/f.u.

Unit cell a=5.2106 b=5.2106 c=5.6485 alpha=90.00 beta=90.00 gamma=90.00
Last column: nearest neighbours and their distance in Å.
Positions (direct):
Al 0.5000 0.5000 0.5000  4 I 3.68, 8 Te 3.84
I 0.0000 0.0000 0.5000  2 Rh 2.82
Te 0.5000 0.0000 0.0000  2 Rh 2.61
Rh 0.0000 0.0000 0.0000  4 Te 2.61, 2 I 2.82
Te 0.0000 0.5000 0.0000  2 Rh 2.61

---

# AlRhWI2

A relaxed structure of AlRhWI2 (PBE, Alexandria via LeMat-Bulk).

* crystal system: tetragonal
* formation energy (no corrections): 1604.2 meV per atom
* D(E_F): 0.679 states/eV/atom
* raw total energy: -19.13 eV/f.u.

Unit cell a=5.4154 b=4.6285 c=5.4154 alpha=90.00 beta=90.00 gamma=90.00
Last column: nearest neighbours and their distance in Å.
Positions (direct):
I 0.5000 0.0000 0.0000  2 Al 2.71
W 0.5000 0.5000 0.5000  8 I 3.56, 4 Rh 3.83
Rh 0.0000 0.5000 0.0000  2 Al 2.31
I 0.0000 0.0000 0.5000  2 Al 2.71
Al 0.0000 0.0000 0.0000  2 Rh 2.31